[1]
Here is a PBEsol-optimized structure of SrReNi2Se from Alexandria. Energies are from meta-GGA SCAN.

a = 4.632 Å, b = 4.632 Å, c = 4.701 Å
α = 90.00°, β = 90.00°, γ = 90.00°
Space group P4/mmm (No. 123)
One atom of each set of equivalent atoms:
Sr (0.000, 0.000, 0.000) (multiplicity 1)
Re (0.500, 0.500, 0.500) (multiplicity 1)
Ni (0.000, 0.500, 0.500) (multiplicity 2)
Se (0.500, 0.500, 0.000) (multiplicity 1)

Output
* calculated total energy: -28.946 eV per atom
* size of the total moment: 0.000 μB/atom

[2]
Here is a PBEsol-optimized structure of Re2SiNi from Alexandria. Energies are from meta-GGA SCAN.

a = 3.037 Å, b = 4.110 Å, c = 4.204 Å
α = 90.00°, β = 90.00°, γ = 90.00°
Space group Pmmm (No. 47)
One atom of each set of equivalent atoms:
Re (0.000, 0.000, 0.000) (multiplicity 1)
Re (0.500, 0.000, 0.500) (multiplicity 1)
Si (0.000, 0.500, 0.500) (multiplicity 1)
Ni (0.500, 0.500, 0.000) (multiplicity 1)

Output
* calculated total energy: -41.998 eV per atom
* size of the total moment: 0.000 μB/atom

Calculated values (Å³/atom) of V for the records, taken in order: 20.18, 13.12.